A plane-wave DFT calculation with PBE-GGA was carried out for an optimized crystal structure of AgPt.

Output
M_tot	0.0000	μB/atom
space-group type	No. 194
ΔE_f	0.4339	eV per atom
uncorrected energy	-4.012	eV/atom

Cell and atoms, written as CIF:
```
data_AgPt
_chemical_formula_sum 'Ag2 Pt2'
_space_group_name_H-M_alt 'P 1'
_space_group_IT_number 1
_cell_length_a 4.278
_cell_length_b 4.278
_cell_length_c 5.105
_cell_angle_alpha 90.00
_cell_angle_beta 90.00
_cell_angle_gamma 120.00
loop_
_space_group_symop_operation_xyz
'x,y,z'
loop_
_atom_site_label
_atom_site_fract_x
_atom_site_fract_y
_atom_site_fract_z
_atom_site_occupancy
Ag1 0.333 0.667 0.250 1
Ag2 0.667 0.333 0.750 1
Pt1 0.000 0.000 0.000 1
Pt2 0.000 0.000 0.500 1
```


A plane-wave DFT calculation with PBE-GGA was carried out for an optimized crystal structure of Ag5Pt7.

Output
M_tot	0.0000	μB/atom
space-group type	No. 5
ΔE_f	0.0393	eV per atom
energy above the most stable polymorph in this dataset	48.4	meV/atom
uncorrected energy	-4.673	eV/atom

Cell and atoms, written as CIF:
```
data_Ag5Pt7
_chemical_formula_sum 'Ag5 Pt7'
_space_group_name_H-M_alt 'P 1'
_space_group_IT_number 1
_cell_length_a 6.396
_cell_length_b 6.396
_cell_length_c 4.925
_cell_angle_alpha 82.22
_cell_angle_beta 82.22
_cell_angle_gamma 84.74
loop_
_space_group_symop_operation_xyz
'x,y,z'
loop_
_atom_site_label
_atom_site_fract_x
_atom_site_fract_y
_atom_site_fract_z
_atom_site_occupancy
Pt1 0.572 0.909 0.246 1
Pt2 0.252 0.249 0.258 1
Pt3 0.167 0.833 0.500 1
Pt4 0.492 0.508 0.500 1
Pt5 0.751 0.748 0.742 1
Pt6 0.091 0.428 0.754 1
Pt7 0.339 0.661 0.000 1
Ag1 0.669 0.331 0.000 1
Ag2 0.833 0.167 0.500 1
Ag3 0.000 0.000 0.000 1
Ag4 0.417 0.085 0.749 1
Ag5 0.915 0.583 0.251 1
```


A plane-wave DFT calculation with PBE-GGA was carried out for an optimized crystal structure of Ag7Pt5.

Output
M_tot	0.0000	μB/atom
space-group type	No. 6
ΔE_f	0.0274	eV per atom
energy above the most stable polymorph in this dataset	28.6	meV/atom
uncorrected energy	-4.153	eV/atom

Cell and atoms, written as CIF:
```
data_Ag7Pt5
_chemical_formula_sum 'Ag7 Pt5'
_space_group_name_H-M_alt 'P 1'
_space_group_IT_number 1
_cell_length_a 4.085
_cell_length_b 5.758
_cell_length_c 8.561
_cell_angle_alpha 91.22
_cell_angle_beta 90.00
_cell_angle_gamma 90.00
loop_
_space_group_symop_operation_xyz
'x,y,z'
loop_
_atom_site_label
_atom_site_fract_x
_atom_site_fract_y
_atom_site_fract_z
_atom_site_occupancy
Ag1 0.500 0.253 0.169 1
Ag2 0.000 0.506 0.333 1
Ag3 0.500 0.757 0.499 1
Ag4 0.000 0.996 0.667 1
Ag5 0.000 0.005 0.333 1
Ag6 0.500 0.238 0.836 1
Ag7 0.000 0.001 0.000 1
Pt1 0.500 0.263 0.506 1
Pt2 0.500 0.727 0.833 1
Pt3 0.500 0.747 0.159 1
Pt4 0.000 0.496 0.669 1
Pt5 0.000 0.511 0.995 1
```


A plane-wave DFT calculation with PBE-GGA was carried out for an optimized crystal structure of AgPt.

Output
M_tot	0.0000	μB/atom
space-group type	No. 139
ΔE_f	0.1914	eV per atom
uncorrected energy	-4.255	eV/atom

Cell and atoms, written as CIF:
```
data_AgPt
_chemical_formula_sum 'Ag8 Pt8'
_space_group_name_H-M_alt 'P 1'
_space_group_IT_number 1
_cell_length_a 8.230
_cell_length_b 8.230
_cell_length_c 4.241
_cell_angle_alpha 90.00
_cell_angle_beta 90.00
_cell_angle_gamma 90.00
loop_
_space_group_symop_operation_xyz
'x,y,z'
loop_
_atom_site_label
_atom_site_fract_x
_atom_site_fract_y
_atom_site_fract_z
_atom_site_occupancy
Ag1 0.182 0.500 0.000 1
Ag2 0.000 0.318 0.500 1
Ag3 0.000 0.682 0.500 1
Ag4 0.500 0.818 0.000 1
Ag5 0.318 0.000 0.500 1
Ag6 0.500 0.182 0.000 1
Ag7 0.682 0.000 0.500 1
Ag8 0.818 0.500 0.000 1
Pt1 0.164 0.164 0.000 1
Pt2 0.836 0.164 0.000 1
Pt3 0.164 0.836 0.000 1
Pt4 0.664 0.336 0.500 1
Pt5 0.336 0.664 0.500 1
Pt6 0.664 0.664 0.500 1
Pt7 0.336 0.336 0.500 1
Pt8 0.836 0.836 0.000 1
```